Entry 1:
Material: LiAlSiO4
Method: DFT, PBE
State: optimized geometry

* SG: P6_222 (180)

Structure (CIF):
```
data_LiAlSiO4
_space_group_name_H-M_alt 'P 1'
_space_group_IT_number 1
_cell_length_a 5.296
_cell_length_b 5.296
_cell_length_c 11.451
_cell_angle_alpha 90.00
_cell_angle_beta 90.00
_cell_angle_gamma 120.00
loop_
_space_group_symop_operation_xyz
'x,y,z'
loop_
_atom_site_label
_atom_site_type_symbol
_atom_site_fract_x
_atom_site_fract_y
_atom_site_fract_z
Li1 Li 0.000 0.000 0.833
Li2 Li 0.000 0.000 0.500
Li3 Li 0.000 0.000 0.167
Al1 Al 0.500 0.500 0.333
Al2 Al 0.500 0.000 0.000
Al3 Al 0.000 0.500 0.667
Si1 Si 0.500 0.500 0.833
Si2 Si 0.500 0.000 0.500
Si3 Si 0.000 0.500 0.167
O1 O 0.206 0.806 0.578
O2 O 0.194 0.400 0.244
O3 O 0.600 0.794 0.911
O4 O 0.794 0.194 0.578
O5 O 0.806 0.600 0.244
O6 O 0.400 0.206 0.911
O7 O 0.806 0.206 0.089
O8 O 0.400 0.194 0.422
O9 O 0.794 0.600 0.756
O10 O 0.194 0.794 0.089
O11 O 0.600 0.806 0.422
O12 O 0.206 0.400 0.756
```

Entry 2:
Material: LiAlSi2O6
Method: DFT, PBE
State: optimized geometry

* SG: C2/c (15)

Structure (CIF):
```
data_LiAlSi2O6
_space_group_name_H-M_alt 'P 1'
_space_group_IT_number 1
_cell_length_a 6.414
_cell_length_b 6.414
_cell_length_c 5.272
_cell_angle_alpha 74.66
_cell_angle_beta 74.66
_cell_angle_gamma 82.64
loop_
_space_group_symop_operation_xyz
'x,y,z'
loop_
_atom_site_label
_atom_site_type_symbol
_atom_site_fract_x
_atom_site_fract_y
_atom_site_fract_z
Li1 Li 0.726 0.274 0.750
Li2 Li 0.274 0.726 0.250
Al1 Al 0.094 0.906 0.750
Al2 Al 0.906 0.094 0.250
Si1 Si 0.614 0.801 0.758
Si2 Si 0.199 0.386 0.742
Si3 Si 0.386 0.199 0.242
Si4 Si 0.801 0.614 0.258
O1 O 0.808 0.974 0.641
O2 O 0.026 0.192 0.859
O3 O 0.192 0.026 0.359
O4 O 0.974 0.808 0.141
O5 O 0.368 0.900 0.798
O6 O 0.100 0.632 0.702
O7 O 0.632 0.100 0.202
O8 O 0.900 0.368 0.298
O9 O 0.664 0.627 0.566
O10 O 0.373 0.336 0.934
O11 O 0.336 0.373 0.434
O12 O 0.627 0.664 0.066
```

Entry 3:
Material: LiAlSiO4
Method: DFT, PBE
State: optimized geometry

* SG: Pc (7)

Structure (CIF):
```
data_LiAlSiO4
_space_group_name_H-M_alt 'P 1'
_space_group_IT_number 1
_cell_length_a 5.157
_cell_length_b 8.216
_cell_length_c 8.301
_cell_angle_alpha 73.74
_cell_angle_beta 90.00
_cell_angle_gamma 90.00
loop_
_space_group_symop_operation_xyz
'x,y,z'
loop_
_atom_site_label
_atom_site_type_symbol
_atom_site_fract_x
_atom_site_fract_y
_atom_site_fract_z
Li1 Li 0.331 0.500 0.727
Li2 Li 0.157 0.974 0.416
Li3 Li 0.843 0.974 0.916
Li4 Li 0.669 0.500 0.227
Al1 Al 0.178 0.368 0.125
Al2 Al 0.670 0.867 0.283
Al3 Al 0.330 0.867 0.783
Al4 Al 0.822 0.368 0.625
Si1 Si 0.828 0.740 0.663
Si2 Si 0.674 0.246 0.999
Si3 Si 0.172 0.740 0.163
Si4 Si 0.326 0.246 0.499
O1 O 0.378 0.323 0.971
O2 O 0.863 0.716 0.217
O3 O 0.708 0.055 0.123
O4 O 0.848 0.379 0.071
O5 O 0.704 0.559 0.657
O6 O 0.222 0.219 0.322
O7 O 0.335 0.815 0.297
O8 O 0.622 0.323 0.471
O9 O 0.665 0.815 0.797
O10 O 0.807 0.877 0.475
O11 O 0.292 0.055 0.623
O12 O 0.193 0.877 0.975
O13 O 0.296 0.559 0.157
O14 O 0.152 0.379 0.571
O15 O 0.137 0.716 0.717
O16 O 0.778 0.219 0.822
```

Entry 4:
Material: LiAlSi2O7
Method: DFT, PBE
State: optimized geometry

* SG: P1 (1)

Structure (CIF):
```
data_LiAlSi2O7
_space_group_name_H-M_alt 'P 1'
_space_group_IT_number 1
_cell_length_a 5.065
_cell_length_b 7.720
_cell_length_c 8.747
_cell_angle_alpha 113.89
_cell_angle_beta 89.75
_cell_angle_gamma 90.06
loop_
_space_group_symop_operation_xyz
'x,y,z'
loop_
_atom_site_label
_atom_site_type_symbol
_atom_site_fract_x
_atom_site_fract_y
_atom_site_fract_z
Li1 Li 0.363 0.118 0.299
Li2 Li 0.869 0.960 0.734
Al1 Al 0.873 0.938 0.381
Al2 Al 0.361 0.915 0.903
Si1 Si 0.861 0.106 0.112
Si2 Si 0.825 0.507 0.104
Si3 Si 0.322 0.491 0.888
Si4 Si 0.374 0.074 0.620
O1 O 0.736 0.061 0.266
O2 O 0.173 0.045 0.087
O3 O 0.830 0.333 0.167
O4 O 0.525 0.517 0.040
O5 O 0.901 0.699 0.258
O6 O 0.190 0.034 0.456
O7 O 0.284 0.426 0.432
O8 O 0.244 0.977 0.740
O9 O 0.696 0.990 0.939
O10 O 0.327 0.674 0.843
O11 O 0.027 0.453 0.945
O12 O 0.405 0.302 0.722
O13 O 0.670 0.985 0.560
O14 O 0.399 0.571 0.442
```

Entry 5:
Material: LiAlSiO4
Method: DFT, PBE
State: optimized geometry

* SG: Cmcm (63)

Structure (CIF):
```
data_LiAlSiO4
_space_group_name_H-M_alt 'P 1'
_space_group_IT_number 1
_cell_length_a 5.273
_cell_length_b 5.273
_cell_length_c 5.786
_cell_angle_alpha 90.00
_cell_angle_beta 90.00
_cell_angle_gamma 113.43
loop_
_space_group_symop_operation_xyz
'x,y,z'
loop_
_atom_site_label
_atom_site_type_symbol
_atom_site_fract_x
_atom_site_fract_y
_atom_site_fract_z
Li1 Li 0.500 0.500 0.500
Li2 Li 0.500 0.500 0.000
Al1 Al 0.857 0.143 0.250
Al2 Al 0.143 0.857 0.750
Si1 Si 0.138 0.862 0.250
Si2 Si 0.862 0.138 0.750
O1 O 0.204 0.224 0.750
O2 O 0.776 0.796 0.750
O3 O 0.757 0.243 0.984
O4 O 0.757 0.243 0.516
O5 O 0.243 0.757 0.016
O6 O 0.243 0.757 0.484
O7 O 0.796 0.776 0.250
O8 O 0.224 0.204 0.250
```

Entry 6:
Material: LiAlSi4O10
Method: DFT, PBE
State: optimized geometry

* SG: P2/c (13)

Structure (CIF):
```
data_LiAlSi4O10
_space_group_name_H-M_alt 'P 1'
_space_group_IT_number 1
_cell_length_a 5.232
_cell_length_b 7.734
_cell_length_c 11.955
_cell_angle_alpha 66.86
_cell_angle_beta 90.00
_cell_angle_gamma 90.00
loop_
_space_group_symop_operation_xyz
'x,y,z'
loop_
_atom_site_label
_atom_site_type_symbol
_atom_site_fract_x
_atom_site_fract_y
_atom_site_fract_z
Li1 Li 0.258 0.500 0.750
Li2 Li 0.742 0.500 0.250
Al1 Al 0.758 0.500 0.750
Al2 Al 0.242 0.500 0.250
Si1 Si 0.999 0.789 0.352
Si2 Si 0.999 0.211 0.148
Si3 Si 0.001 0.211 0.648
Si4 Si 0.001 0.789 0.852
Si5 Si 0.505 0.789 0.002
Si6 Si 0.495 0.211 0.998
Si7 Si 0.505 0.211 0.498
Si8 Si 0.495 0.789 0.502
O1 O 0.787 0.251 0.541
O2 O 0.022 0.635 0.292
O3 O 0.978 0.635 0.792
O4 O 0.022 0.365 0.208
O5 O 0.978 0.365 0.708
O6 O 0.213 0.749 0.459
O7 O 0.787 0.749 0.959
O8 O 0.213 0.251 0.041
O9 O 0.288 0.228 0.591
O10 O 0.462 0.634 0.139
O11 O 0.500 0.000 0.500
O12 O 0.500 0.000 0.000
O13 O 0.956 0.000 0.750
O14 O 0.044 0.000 0.250
O15 O 0.712 0.228 0.091
O16 O 0.462 0.366 0.361
O17 O 0.288 0.772 0.909
O18 O 0.712 0.772 0.409
O19 O 0.538 0.366 0.861
O20 O 0.538 0.634 0.639
```

| no. | uncorrected formation energy (eV/atom) | volume (A^3/atom) | magnetization (μB per atom) |
| --- | --- | --- | --- |
| 1 | -2.80 | 13.2 | 0.000 |
| 2 | -2.78 | 10.1 | 0.000 |
| 3 | -2.79 | 12.1 | 0.000 |
| 4 | -2.53 | 14.2 | 0.087 |
| 5 | -2.63 | 10.5 | 0.000 |
| 6 | -2.81 | 13.9 | 0.000 |